No. 1
The following is a DFT calculation (PBE) of a relaxed NpGeHPt crystal.

ρ	13.32	g/cm³
total DFT energy (no corrections)	-7.1818	eV/atom

POSCAR file:
```
NpGeHPt
1.0
4.408 0.000 0.000
-2.204 3.817 0.000
0.000 0.000 3.747
Np Ge H Pt
1 1 1 1
Cartesian
0.000 0.000 0.000
0.000 2.545 1.874
2.204 1.272 0.000
2.204 1.272 1.874
```

No. 2
The following is a DFT calculation (PBE) of a relaxed SrSeBr2 crystal.

ρ	3.07	g/cm³
energy relative to the elements, uncorrected	-0.99	eV/atom
total DFT energy (no corrections)	-3.1226	eV/atom
polymorph energy (0 for the lowest one)	0.323	eV/atom

POSCAR file:
```
SrSeBr2
1.0
4.449 0.000 0.000
-2.225 3.853 0.000
0.000 0.000 30.848
Sr Se Br
3 3 6
Cartesian
0.000 0.000 0.000
0.000 2.569 20.566
2.225 1.284 10.283
0.000 0.000 15.424
0.000 2.569 5.141
2.225 1.284 25.707
0.000 0.000 8.630
0.000 0.000 22.219
0.000 2.569 11.936
0.000 2.569 29.195
2.225 1.284 1.653
2.225 1.284 18.912
```

No. 3
The following is a DFT calculation (PBE) of a relaxed TbPmGaNi crystal.

ρ	8.03	g/cm³
total DFT energy (no corrections)	-4.9380	eV/atom
polymorph energy (0 for the lowest one)	0.061	eV/atom

POSCAR file:
```
TbPmGaNi
1.0
7.098 0.000 0.000
0.000 7.098 0.000
0.000 0.000 7.098
Tb Pm Ga Ni
4 4 4 4
Cartesian
0.000 0.000 0.000
0.000 3.549 3.549
3.549 0.000 3.549
3.549 3.549 0.000
0.000 0.000 3.549
0.000 3.549 0.000
3.549 0.000 0.000
3.549 3.549 3.549
1.774 1.774 5.323
1.774 5.323 1.774
5.323 1.774 1.774
5.323 5.323 5.323
1.774 1.774 1.774
1.774 5.323 5.323
5.323 1.774 5.323
5.323 5.323 1.774
```

No. 4
The following is a DFT calculation (PBE) of a relaxed MnTe2Pb crystal.

ρ	7.27	g/cm³
energy relative to the elements, uncorrected	-0.06	eV/atom
total DFT energy (no corrections)	-4.8521	eV/atom

POSCAR file:
```
MnTe2Pb
1.0
3.842 0.000 0.000
0.000 4.116 0.000
0.000 0.000 14.942
Mn Te Pb
2 4 2
Cartesian
0.000 0.000 0.000
1.921 2.058 7.471
0.000 0.000 6.421
0.000 2.058 9.607
1.921 0.000 2.136
1.921 2.058 13.892
0.000 2.058 3.790
1.921 0.000 11.261
```

No. 5
The following is a DFT calculation (PBE) of a relaxed ReBr5 crystal.

ρ	5.89	g/cm³
energy relative to the elements, uncorrected	0.60	eV/atom
total DFT energy (no corrections)	-2.8681	eV/atom
polymorph energy (0 for the lowest one)	0.658	eV/atom

POSCAR file:
```
ReBr5
1.0
3.088 0.000 0.000
0.000 3.088 0.000
0.000 0.000 17.313
Re Br
1 5
Cartesian
0.000 0.000 0.000
0.000 0.000 4.680
0.000 0.000 12.633
1.544 1.544 1.592
1.544 1.544 8.657
1.544 1.544 15.721
```

No. 6
The following is a DFT calculation (PBE) of a relaxed Zr2Mn2Re crystal.

ρ	9.53	g/cm³
total DFT energy (no corrections)	-9.6157	eV/atom

POSCAR file:
```
Zr2Mn2Re
1.0
6.171 0.000 0.000
0.000 6.171 0.000
0.000 0.000 4.380
Zr Mn Re
4 4 2
Cartesian
1.133 1.953 0.000
1.953 5.038 0.000
4.218 1.133 0.000
5.038 4.218 0.000
0.769 3.855 2.190
2.316 0.769 2.190
3.855 5.402 2.190
5.402 2.316 2.190
0.000 0.000 2.190
3.086 3.086 2.190
```

No. 7
The following is a DFT calculation (PBE) of a relaxed Tm12Fe6Ag crystal.

ρ	9.55	g/cm³
total DFT energy (no corrections)	-5.7188	eV/atom

POSCAR file:
```
Tm12Fe6Ag
1.0
-4.754 4.754 4.754
4.754 -4.754 4.754
4.754 4.754 -4.754
Tm Fe Ag
12 6 1
Cartesian
4.754 -1.922 2.892
2.831 1.861 0.000
6.676 1.861 0.000
2.892 4.754 -1.922
1.861 0.000 2.831
0.000 2.831 1.861
4.754 1.922 2.892
2.892 4.754 1.922
1.861 0.000 6.676
-1.922 2.892 4.754
1.922 2.892 4.754
0.000 6.676 1.861
4.754 0.000 1.060
4.754 3.694 0.000
1.060 4.754 0.000
3.694 0.000 4.754
0.000 1.060 4.754
0.000 4.754 3.694
0.000 0.000 0.000
```

No. 8
The following is a DFT calculation (PBE) of a relaxed KTaCd2W crystal.

ρ	6.90	g/cm³
total DFT energy (no corrections)	-4.3917	eV/atom

POSCAR file:
```
KTaCd2W
1.0
5.626 0.000 0.000
0.000 5.626 0.000
0.000 0.000 4.780
K Ta Cd W
1 1 2 1
Cartesian
0.000 0.000 0.000
2.813 2.813 2.390
0.000 2.813 2.390
2.813 0.000 2.390
2.813 2.813 0.000
```

No. 9
The following is a DFT calculation (PBE) of a relaxed BeZnInNiPd crystal.

ρ	8.43	g/cm³
total DFT energy (no corrections)	-3.9744	eV/atom
polymorph energy (0 for the lowest one)	0.022	eV/atom

POSCAR file:
```
BeZnInNiPd
1.0
3.005 0.000 0.000
0.000 3.005 0.000
0.000 0.000 15.455
Be Zn In Ni Pd
2 2 2 2 2
Cartesian
0.000 0.000 0.000
1.503 1.503 7.727
0.000 0.000 2.353
1.503 1.503 10.080
0.000 0.000 5.849
1.503 1.503 13.576
0.000 0.000 8.572
1.503 1.503 0.845
0.000 0.000 11.686
1.503 1.503 3.959
```

No. 10
The following is a DFT calculation (PBE) of a relaxed Mn2TcHPt crystal.

ρ	12.04	g/cm³
total DFT energy (no corrections)	-7.5787	eV/atom
polymorph energy (0 for the lowest one)	0.061	eV/atom

POSCAR file:
```
Mn2TcHPt
1.0
3.851 0.000 0.000
0.000 3.851 0.000
0.000 0.000 3.756
Mn Tc H Pt
2 1 1 1
Cartesian
0.000 1.925 0.000
1.925 0.000 0.000
0.000 0.000 1.878
1.925 1.925 0.000
1.925 1.925 1.878
```

No. 11
The following is a DFT calculation (PBE) of a relaxed Tb3YErTm crystal.

ρ	7.53	g/cm³
total DFT energy (no corrections)	-4.6944	eV/atom

POSCAR file:
```
Tb3YErTm
1.0
11.030 -2.708 0.000
11.030 2.708 0.000
-1.018 0.000 6.659
Tb Y Er Tm
6 2 2 2
Cartesian
0.267 0.000 1.818
5.857 0.000 1.272
6.586 0.000 4.855
14.456 0.000 1.804
15.185 0.000 5.387
20.775 0.000 4.841
1.912 0.000 6.435
19.130 0.000 0.225
3.150 0.000 3.499
17.892 0.000 3.160
9.064 0.000 2.297
11.978 0.000 4.363
```

No. 12
The following is a DFT calculation (PBE) of a relaxed ZrSc2Tc crystal.

ρ	5.85	g/cm³
total DFT energy (no corrections)	-7.8212	eV/atom
polymorph energy (0 for the lowest one)	0.247	eV/atom

POSCAR file:
```
ZrSc2Tc
1.0
5.784 0.000 0.000
0.000 9.614 0.000
-0.946 0.000 2.848
Zr Sc Tc
2 4 2
Cartesian
0.000 0.000 0.000
2.892 4.807 0.000
0.973 2.403 1.424
0.973 7.210 1.424
3.865 2.403 1.424
3.865 7.210 1.424
0.000 4.807 0.000
2.892 0.000 0.000
```

No. 13
The following is a DFT calculation (PBE) of a relaxed Cs2TaNiSe4 crystal.

ρ	4.87	g/cm³
energy relative to the elements, uncorrected	-0.95	eV/atom
total DFT energy (no corrections)	-5.1124	eV/atom

POSCAR file:
```
Cs2TaNiSe4
1.0
0.000 7.497 12.920
2.894 0.000 12.920
2.894 7.497 0.000
Cs Ta Ni Se
4 2 2 8
Cartesian
2.170 5.623 1.340
3.617 9.372 7.800
2.170 5.623 18.040
3.617 9.372 24.500
2.170 5.623 9.690
3.617 9.372 16.150
0.723 1.874 3.230
5.064 13.120 22.610
2.150 3.275 4.574
3.638 7.023 11.034
2.191 7.971 4.574
2.191 3.275 14.806
3.597 11.720 11.034
3.597 7.023 21.266
2.150 7.971 14.806
3.638 11.720 21.266
```

No. 14
The following is a DFT calculation (PBE) of a relaxed DyZnCdHg crystal.

ρ	10.37	g/cm³
total DFT energy (no corrections)	-2.0798	eV/atom

POSCAR file:
```
DyZnCdHg
1.0
7.023 0.000 0.000
0.000 7.023 0.000
0.000 0.000 7.023
Dy Zn Cd Hg
4 4 4 4
Cartesian
0.000 0.000 0.000
0.000 3.511 3.511
3.511 0.000 3.511
3.511 3.511 0.000
1.756 1.756 5.267
1.756 5.267 1.756
5.267 1.756 1.756
5.267 5.267 5.267
0.000 0.000 3.511
0.000 3.511 0.000
3.511 0.000 0.000
3.511 3.511 3.511
1.756 1.756 1.756
1.756 5.267 5.267
5.267 1.756 5.267
5.267 5.267 1.756
```

No. 15
The following is a DFT calculation (PBE) of a relaxed Dy6HoTm3Sc2 crystal.

ρ	8.08	g/cm³
total DFT energy (no corrections)	-4.8188	eV/atom

POSCAR file:
```
Dy6HoTm3Sc2
1.0
3.020 -5.224 0.000
3.020 5.224 0.000
-2.007 0.000 11.319
Dy Ho Tm Sc
6 1 3 2
Cartesian
-0.005 1.753 8.535
0.997 0.000 2.783
-0.005 -1.753 8.535
4.037 1.753 2.783
3.035 0.000 8.535
4.037 -1.753 2.783
3.020 0.000 0.000
-1.003 0.000 5.659
2.016 1.744 5.659
2.016 -1.744 5.659
3.020 3.483 0.000
3.020 -3.483 0.000
```

No. 16
The following is a DFT calculation (PBE) of a relaxed Zr3CdH crystal.

ρ	6.86	g/cm³
total DFT energy (no corrections)	-6.0993	eV/atom
polymorph energy (0 for the lowest one)	0.124	eV/atom

POSCAR file:
```
Zr3CdH
1.0
7.918 0.000 0.000
0.000 5.539 0.000
-6.555 0.000 8.545
Zr Cd H
12 4 4
Cartesian
-1.953 0.859 2.913
-5.230 1.910 7.185
-1.705 3.594 4.459
1.572 4.715 0.187
-2.536 0.997 6.285
0.741 1.773 2.012
0.621 3.766 6.533
3.899 4.542 2.260
-0.210 0.824 8.359
3.068 1.945 4.086
6.593 3.629 1.360
3.315 4.680 5.633
-2.222 3.803 7.640
1.056 4.506 3.367
0.307 1.033 5.178
3.584 1.736 0.906
0.493 0.904 0.192
-2.785 1.865 4.465
4.148 3.674 4.081
0.870 4.635 8.353
```

No. 17
The following is a DFT calculation (PBE) of a relaxed NbBiS crystal.

ρ	7.69	g/cm³
energy relative to the elements, uncorrected	-0.52	eV/atom
total DFT energy (no corrections)	-6.5429	eV/atom
polymorph energy (0 for the lowest one)	0.011	eV/atom

POSCAR file:
```
NbBiS
1.0
13.335 0.000 0.000
0.000 3.321 0.000
-3.289 0.000 6.509
Nb Bi S
4 4 4
Cartesian
2.137 0.000 0.297
1.242 1.661 6.211
8.804 1.661 0.297
7.909 0.000 6.211
-0.248 1.661 1.591
3.627 0.000 4.918
6.419 0.000 1.591
10.294 1.661 4.918
0.152 0.000 4.747
3.227 1.661 1.761
6.819 1.661 4.747
9.894 0.000 1.761
```

No. 18
The following is a DFT calculation (PBE) of a relaxed PuGa2Ge crystal.

ρ	8.58	g/cm³
total DFT energy (no corrections)	-6.0353	eV/atom
polymorph energy (0 for the lowest one)	0.620	eV/atom

POSCAR file:
```
PuGa2Ge
1.0
3.156 0.000 0.000
-1.578 2.733 0.000
0.000 0.000 30.709
Pu Ga Ge
3 6 3
Cartesian
0.000 0.000 0.000
0.000 1.822 20.473
1.578 0.911 10.236
0.000 0.000 2.985
0.000 0.000 27.725
0.000 1.822 17.488
0.000 1.822 23.458
1.578 0.911 7.252
1.578 0.911 13.221
0.000 0.000 15.355
0.000 1.822 5.118
1.578 0.911 25.591
```

No. 19
The following is a DFT calculation (PBE) of a relaxed Ni3SnW crystal.

ρ	8.30	g/cm³
total DFT energy (no corrections)	-5.6973	eV/atom
polymorph energy (0 for the lowest one)	0.000	eV/atom

POSCAR file:
```
Ni3SnW
1.0
4.575 0.000 0.000
0.000 4.575 0.000
0.000 0.000 4.575
Ni Sn W
3 1 1
Cartesian
0.000 0.000 2.288
0.000 2.288 0.000
2.288 0.000 0.000
2.288 2.288 2.288
0.000 0.000 0.000
```